Density functional theory data (SCAN) for a crystal of Zr3Mn8Al relaxed with PBEsol.

Output
DFT formation energy in meV/atom: -169.9
Density in Mg/m³: 7.76
Space-group type: P3m1, No. 156
Energy in eV per atom: -20.661

Lattice parameters (Å, degrees): 4.796 4.796 7.956 90.00 90.00 120.00
Atoms (fractional coordinates):
Zr: 0.000 0.000 0.000
Zr: 0.000 0.000 0.379
Zr: 0.667 0.333 0.516
Mn: 0.163 0.327 0.697
Mn: 0.163 0.837 0.697
Mn: 0.333 0.667 0.435
Mn: 0.333 0.667 0.944
Mn: 0.506 0.013 0.188
Mn: 0.506 0.494 0.188
Mn: 0.673 0.837 0.697
Mn: 0.987 0.494 0.188
Al: 0.667 0.333 0.880